The following is a PBE with a Hubbard U calculation of a geometry-optimized NiSN2O structure, from Alexandria.

Values from the calculation:
raw total energy	-0.31475	Ry per atom

Geometry as CIF:
```
data_NiSN2O
_chemical_formula_sum 'Ni1 S1 N2 O1'
_space_group_name_H-M_alt 'P 1'
_space_group_IT_number 1
_cell_length_a 3.515
_cell_length_b 3.515
_cell_length_c 3.660
_cell_angle_alpha 90.00
_cell_angle_beta 90.00
_cell_angle_gamma 90.00
loop_
_space_group_symop_operation_xyz
'x,y,z'
loop_
_atom_site_label
_atom_site_fract_x
_atom_site_fract_y
_atom_site_fract_z
Ni1 0.000 0.000 0.000
S1 0.500 0.500 0.500
N1 0.000 0.500 0.500
N2 0.500 0.000 0.500
O1 0.500 0.500 0.000
```